Entry from Alexandria via LeMat-Bulk: a relaxed InCoNF2 crystal (PBE with a Hubbard U).

**Distance to the lowest polymorph of the same formula**: 0.000 eV per atom
**DOS(E_F)**: 1.345 states/eV per cell
**Space group**: No. 123
**Crystal system**: tetragonal

abc: 4.0709 4.0709 3.8590
angles: 90.00 90.00 90.00
With the nearest neighbours (Å) after each atom.
Positions (direct):
In1 0.5000 0.5000 0.5000  8 F 2.80, 4 N 2.88
Co1 0.0000 0.0000 0.0000  2 N 1.93, 4 F 2.04
F1 0.0000 0.5000 0.0000  2 Co 2.04
F2 0.5000 0.0000 0.0000  2 Co 2.04
N1 0.0000 0.0000 0.5000  2 Co 1.93